The following is a PBE calculation of crystalline Cr2Ir at its relaxed geometry, from Alexandria.

Properties
Calculated formation energy: -43 meV/atom
Crystal system: hexagonal
Energy: -9.412 eV per atom

Cell lengths 4.0900, 4.0900, 2.6207 Å; angles 90.00, 90.00, 120.00 degrees
With the nearest neighbours (Å) after each atom.
Positions (direct):
Cr (0.3333, 0.6667, 0.0000)  5 Cr 2.36-2.62
Cr (0.6667, 0.3333, 0.0000)  5 Cr 2.36-2.62
Ir (0.0000, 0.0000, 0.5000)  2 Ir 2.62, 12 Cr 2.70